1.
{
  "formula": "TeWSeI2",
  "functional": "GGA-PBE",
  "state": "optimized geometry",
  "lattice_angstrom": [[-3.800, 2.898, -2.820], [-0.256, -4.035, -3.800], [-4.140, -2.537, 2.973]],
  "species": ["W", "I", "I", "Se", "Te"],
  "frac_coords": [[0.500, 0.500, 0.500], [0.500, 0.000, 0.000], [0.000, 0.500, 0.000], [0.000, 0.000, 0.000], [0.000, 0.000, 0.500]],
  "de_polymorph_mev_per_atom": 764,
  "magmom_total_mub_per_fu": 4.66,
  "e_tot_ev_per_atom": -3.02,
  "spacegroup": "No. 123"
}

***

2.
{
  "formula": "YTeSeI2",
  "functional": "GGA-PBE",
  "state": "optimized geometry",
  "lattice_angstrom": [[5.676, 0.000, 0.000], [0.000, 5.676, 0.000], [0.000, 0.000, 5.498]],
  "species": ["Se", "I", "I", "Y", "Te"],
  "frac_coords": [[0.000, 0.000, 0.000], [0.500, 0.000, 0.000], [0.000, 0.500, 0.000], [0.500, 0.500, 0.500], [0.000, 0.000, 0.500]],
  "de_polymorph_mev_per_atom": 337,
  "magmom_total_mub_per_fu": 0.56,
  "e_tot_ev_per_atom": -3.18,
  "spacegroup": "No. 123"
}

***

3.
{
  "formula": "YTeSeI2",
  "functional": "GGA-PBE",
  "state": "optimized geometry",
  "lattice_angstrom": [[5.966, 0.000, 0.000], [0.000, 5.966, 0.000], [0.000, 0.000, 6.072]],
  "species": ["Y", "I", "I", "Te", "Se"],
  "frac_coords": [[0.000, 0.000, 0.000], [0.000, 0.500, 0.000], [0.500, 0.000, 0.000], [0.000, 0.000, 0.500], [0.500, 0.500, 0.500]],
  "de_polymorph_mev_per_atom": 0,
  "magmom_total_mub_per_fu": 2.96,
  "e_tot_ev_per_atom": -3.52,
  "spacegroup": "No. 123"
}

***

4.
{
  "formula": "ZnTeSeI2",
  "functional": "GGA-PBE",
  "state": "optimized geometry",
  "lattice_angstrom": [[5.746, 0.000, 0.000], [0.000, 5.746, 0.000], [0.000, 0.000, 5.616]],
  "species": ["I", "I", "Te", "Zn", "Se"],
  "frac_coords": [[0.500, 0.000, 0.000], [0.000, 0.500, 0.000], [0.000, 0.000, 0.500], [0.500, 0.500, 0.500], [0.000, 0.000, 0.000]],
  "de_polymorph_mev_per_atom": 0,
  "magmom_total_mub_per_fu": 0.00,
  "e_tot_ev_per_atom": -1.79,
  "spacegroup": "No. 123"
}

***

5.
{
  "formula": "ZrTe2SeI",
  "functional": "GGA-PBE",
  "state": "optimized geometry",
  "lattice_angstrom": [[-1.000, 4.677, -2.448], [-5.275, -0.791, 0.644], [0.207, 2.600, 4.884]],
  "species": ["I", "Te", "Te", "Se", "Zr"],
  "frac_coords": [[0.000, 0.000, 0.500], [0.000, 0.500, 0.000], [0.500, 0.000, 0.000], [0.000, 0.000, 0.000], [0.500, 0.500, 0.500]],
  "de_polymorph_mev_per_atom": 501,
  "magmom_total_mub_per_fu": 1.38,
  "e_tot_ev_per_atom": -3.40,
  "spacegroup": "No. 123"
}

***

6.
{
  "formula": "ZrTe2SeI",
  "functional": "GGA-PBE",
  "state": "optimized geometry",
  "lattice_angstrom": [[5.616, 0.000, 0.000], [0.000, 5.616, 0.000], [0.000, 0.000, 5.756]],
  "species": ["Se", "Zr", "Te", "Te", "I"],
  "frac_coords": [[0.500, 0.500, 0.500], [0.000, 0.000, 0.000], [0.500, 0.000, 0.000], [0.000, 0.500, 0.000], [0.000, 0.000, 0.500]],
  "de_polymorph_mev_per_atom": 0,
  "magmom_total_mub_per_fu": 2.19,
  "e_tot_ev_per_atom": -3.90,
  "spacegroup": "No. 123"
}

***

7.
{
  "formula": "ThSe2I2",
  "functional": "GGA-PBE",
  "state": "optimized geometry",
  "lattice_angstrom": [[7.824, 0.000, -1.136], [3.912, 6.899, -0.568], [2.213, 0.000, 7.813]],
  "species": ["Th", "Th", "I", "I", "I", "I", "Se", "Se", "Se", "Se"],
  "frac_coords": [[0.143, 0.714, 0.000], [0.857, 0.286, 0.000], [0.488, 0.597, 0.232], [0.915, 0.597, 0.768], [0.512, 0.403, 0.768], [0.085, 0.403, 0.232], [0.944, 0.000, 0.279], [0.274, 0.000, 0.896], [0.056, 0.000, 0.721], [0.726, 0.000, 0.104]],
  "magmom_total_mub_per_fu": 0.00,
  "e_tot_ev_per_atom": -4.68,
  "spacegroup": "No. 12"
}

***

8.
{
  "formula": "ThSeI",
  "functional": "GGA-PBE",
  "state": "optimized geometry",
  "lattice_angstrom": [[3.988, 0.000, 0.000], [0.000, 7.925, -1.045], [-1.994, -4.274, 7.526]],
  "species": ["Th", "Th", "Se", "Se", "I", "I"],
  "frac_coords": [[0.863, 0.277, 0.726], [0.137, 0.723, 0.274], [0.787, 0.842, 0.573], [0.213, 0.158, 0.427], [0.525, 0.303, 0.050], [0.475, 0.697, 0.950]],
  "magmom_total_mub_per_fu": 0.20,
  "e_tot_ev_per_atom": -5.45,
  "spacegroup": "No. 12"
}

***

9.
{
  "formula": "ThSeI",
  "functional": "GGA-PBE",
  "state": "optimized geometry",
  "lattice_angstrom": [[-3.094, 1.228, -1.709], [-0.283, -3.254, -1.825], [-2.355, -1.663, 7.165]],
  "species": ["Th", "Se", "I"],
  "frac_coords": [[0.681, 0.681, 0.362], [0.282, 0.282, 0.564], [0.037, 0.037, 0.074]],
  "magmom_total_mub_per_fu": 0.00,
  "e_tot_ev_per_atom": -5.50,
  "spacegroup": "No. 107"
}

***

10.
{
  "formula": "Th4Se6I",
  "functional": "GGA-PBE",
  "state": "optimized geometry",
  "lattice_angstrom": [[-2.142, 3.456, 1.151], [-4.934, -0.552, -7.526], [-2.733, -4.192, 7.500]],
  "species": ["Th", "Th", "Th", "Th", "I", "Se", "Se", "Se", "Se", "Se", "Se"],
  "frac_coords": [[0.500, 0.811, 0.623], [0.000, 0.333, 0.667], [0.500, 0.811, 0.189], [0.500, 0.377, 0.189], [0.000, 0.000, 0.000], [0.500, 0.195, 0.390], [0.000, 0.926, 0.463], [0.000, 0.537, 0.463], [0.500, 0.195, 0.805], [0.000, 0.537, 0.074], [0.500, 0.610, 0.805]],
  "magmom_total_mub_per_fu": 0.00,
  "e_tot_ev_per_atom": -6.34,
  "spacegroup": "No. 187"
}

***

11.
{
  "formula": "ThSe6I12",
  "functional": "GGA-PBE",
  "state": "optimized geometry",
  "lattice_angstrom": [[11.745, 8.488, 3.796], [4.761, 13.686, 3.796], [6.318, 8.488, 10.603]],
  "species": ["I", "I", "I", "I", "I", "I", "I", "I", "I", "I", "I", "I", "Se", "Se", "Se", "Se", "Se", "Se", "Th"],
  "frac_coords": [[0.832, 0.216, 0.550], [0.906, 0.695, 0.277], [0.784, 0.450, 0.168], [0.550, 0.832, 0.216], [0.094, 0.305, 0.723], [0.168, 0.784, 0.450], [0.723, 0.094, 0.305], [0.305, 0.723, 0.094], [0.450, 0.168, 0.784], [0.216, 0.550, 0.832], [0.277, 0.906, 0.695], [0.695, 0.277, 0.906], [0.439, 0.126, 0.165], [0.874, 0.835, 0.561], [0.561, 0.874, 0.835], [0.835, 0.561, 0.874], [0.165, 0.439, 0.126], [0.126, 0.165, 0.439], [0.000, 0.000, 0.000]],
  "magmom_total_mub_per_fu": 0.00,
  "e_tot_ev_per_atom": -2.67,
  "spacegroup": "No. 148"
}

***

12.
{
  "formula": "Th2Se2I",
  "functional": "GGA-PBE",
  "state": "optimized geometry",
  "lattice_angstrom": [[4.038, 0.000, 0.000], [0.000, 5.779, 0.000], [-2.019, -2.889, 7.040]],
  "species": ["Th", "Th", "Se", "Se", "I"],
  "frac_coords": [[0.316, 0.816, 0.632], [0.684, 0.184, 0.368], [0.340, 0.340, 0.679], [0.660, 0.660, 0.321], [0.000, 0.000, 0.000]],
  "magmom_total_mub_per_fu": 0.00,
  "e_tot_ev_per_atom": -6.00,
  "spacegroup": "No. 71"
}

***

13.
{
  "formula": "Th2SeI2",
  "functional": "GGA-PBE",
  "state": "optimized geometry",
  "lattice_angstrom": [[3.882, 0.000, 0.725], [1.885, 3.407, 0.661], [-0.490, -0.250, 13.382]],
  "species": ["I", "I", "Se", "Th", "Th"],
  "frac_coords": [[0.450, 0.920, 0.181], [0.550, 0.080, 0.819], [0.000, 0.500, 0.500], [0.280, 0.794, 0.647], [0.720, 0.206, 0.353]],
  "magmom_total_mub_per_fu": 0.00,
  "e_tot_ev_per_atom": -5.51,
  "spacegroup": "No. 12"
}

***

14.
{
  "formula": "ThSeI3",
  "functional": "GGA-PBE",
  "state": "optimized geometry",
  "lattice_angstrom": [[8.003, 0.000, 1.232], [4.001, 8.169, 0.616], [0.255, 0.000, 15.504]],
  "species": ["I", "I", "I", "I", "I", "I", "I", "I", "I", "I", "I", "I", "Se", "Se", "Se", "Se", "Th", "Th", "Th", "Th"],
  "frac_coords": [[0.280, 0.911, 0.693], [0.809, 0.911, 0.807], [0.476, 0.289, 0.585], [0.191, 0.089, 0.193], [0.720, 0.089, 0.307], [0.950, 0.797, 0.537], [0.235, 0.289, 0.915], [0.524, 0.711, 0.415], [0.050, 0.203, 0.463], [0.765, 0.711, 0.085], [0.747, 0.203, 0.037], [0.253, 0.797, 0.963], [0.315, 0.644, 0.207], [0.685, 0.356, 0.793], [0.958, 0.356, 0.707], [0.042, 0.644, 0.293], [0.970, 0.878, 0.142], [0.152, 0.878, 0.358], [0.030, 0.122, 0.858], [0.848, 0.122, 0.642]],
  "de_polymorph_mev_per_atom": 0,
  "magmom_total_mub_per_fu": 0.00,
  "e_tot_ev_per_atom": -4.26,
  "spacegroup": "No. 15"
}

***

15.
{
  "formula": "ThSeI",
  "functional": "GGA-PBE",
  "state": "optimized geometry",
  "lattice_angstrom": [[-3.890, -1.010, -0.170], [0.798, -2.329, -4.431], [0.479, -2.576, 4.340]],
  "species": ["I", "Se", "Th"],
  "frac_coords": [[0.001, 0.000, 0.000], [0.501, 0.333, 0.667], [0.498, 0.667, 0.333]],
  "magmom_total_mub_per_fu": 0.00,
  "e_tot_ev_per_atom": -5.22,
  "spacegroup": "No. 156"
}

***

16.
{
  "formula": "ThSeI3",
  "functional": "GGA-PBE",
  "state": "optimized geometry",
  "lattice_angstrom": [[8.807, 0.105, -0.954], [-4.231, 7.725, 0.954], [-5.103, -2.270, 6.877]],
  "species": ["Se", "Se", "I", "I", "I", "I", "I", "I", "Th", "Th"],
  "frac_coords": [[0.556, 0.282, 0.774], [0.508, 0.782, 0.226], [0.082, 0.282, 0.300], [0.032, 0.766, 0.235], [0.531, 0.266, 0.235], [0.982, 0.782, 0.700], [0.032, 0.296, 0.765], [0.531, 0.796, 0.765], [0.032, 0.532, 0.000], [0.532, 0.032, 0.000]],
  "de_polymorph_mev_per_atom": 214,
  "magmom_total_mub_per_fu": 0.00,
  "e_tot_ev_per_atom": -4.05,
  "spacegroup": "No. 46"
}

***

17.
{
  "formula": "Th6Se12I",
  "functional": "GGA-PBE",
  "state": "optimized geometry",
  "lattice_angstrom": [[8.668, 0.021, 0.029], [-2.128, 8.402, 0.029], [-2.128, -2.742, 7.943]],
  "species": ["Se", "Se", "Se", "Se", "Se", "Se", "Se", "Se", "Se", "Se", "Se", "Se", "I", "Th", "Th", "Th", "Th", "Th", "Th"],
  "frac_coords": [[0.547, 0.547, 0.818], [0.547, 0.818, 0.547], [0.182, 0.453, 0.453], [0.453, 0.453, 0.182], [0.871, 0.500, 0.129], [0.871, 0.129, 0.500], [0.453, 0.182, 0.453], [0.818, 0.547, 0.547], [0.129, 0.871, 0.500], [0.129, 0.500, 0.871], [0.500, 0.871, 0.129], [0.500, 0.129, 0.871], [0.000, 0.000, 0.000], [0.753, 0.753, 0.336], [0.664, 0.247, 0.247], [0.336, 0.753, 0.753], [0.247, 0.247, 0.664], [0.247, 0.664, 0.247], [0.753, 0.336, 0.753]],
  "magmom_total_mub_per_fu": 0.00,
  "e_tot_ev_per_atom": -6.16,
  "spacegroup": "No. 166"
}

***

18.
{
  "formula": "Th2VSe2I4",
  "functional": "GGA-PBE",
  "state": "optimized geometry",
  "lattice_angstrom": [[3.803, 0.000, 0.000], [-1.901, 3.293, 0.000], [0.000, 0.000, 23.982]],
  "species": ["Se", "Se", "I", "I", "I", "I", "Th", "Th", "V"],
  "frac_coords": [[0.667, 0.333, 0.390], [0.667, 0.333, 0.265], [0.667, 0.333, 0.097], [0.000, 0.000, 0.534], [0.667, 0.333, 0.902], [0.000, 0.000, 0.729], [0.000, 0.000, 0.000], [0.667, 0.333, 0.631], [0.000, 0.000, 0.328]],
  "magmom_total_mub_per_fu": 1.19,
  "e_tot_ev_per_atom": -4.94,
  "spacegroup": "No. 156"
}

***

19.
{
  "formula": "TiSe2I2",
  "functional": "GGA-PBE",
  "state": "optimized geometry",
  "lattice_angstrom": [[-5.886, 1.914, 3.760], [-4.627, -4.967, 2.260], [1.578, 0.070, 8.092]],
  "species": ["I", "I", "I", "I", "Ti", "Ti", "Se", "Se", "Se", "Se"],
  "frac_coords": [[0.030, 0.414, 0.215], [0.444, 0.586, 0.215], [0.970, 0.586, 0.785], [0.556, 0.414, 0.785], [0.866, 0.267, 0.000], [0.134, 0.733, 0.000], [0.885, 0.000, 0.272], [0.701, 0.000, 0.092], [0.299, 0.000, 0.908], [0.115, 0.000, 0.728]],
  "magmom_total_mub_per_fu": 0.00,
  "e_tot_ev_per_atom": -4.27,
  "spacegroup": "No. 12"
}

***

20.
{
  "formula": "Ti3SeI",
  "functional": "GGA-PBE",
  "state": "optimized geometry",
  "lattice_angstrom": [[-2.902, 1.473, 3.535], [-3.828, -1.266, -2.615], [0.130, -4.396, 1.938]],
  "species": ["Ti", "Ti", "Ti", "Se", "I"],
  "frac_coords": [[0.000, 0.500, 0.000], [0.500, 0.000, 0.000], [0.000, 0.000, 0.500], [0.000, 0.000, 0.000], [0.500, 0.500, 0.500]],
  "de_polymorph_mev_per_atom": 0,
  "magmom_total_mub_per_fu": 2.41,
  "e_tot_ev_per_atom": -5.50,
  "spacegroup": "No. 221"
}